## KAl3Cd (SCAN)

Data for a PBEsol-optimized structure of KAl3Cd.

Cell lengths 5.597, 5.597, 5.597 Å; angles 90.00, 90.00, 90.00 degrees
Fractional coordinates of all 5 atoms:
Al 0.000 0.500 0.000
K 0.000 0.000 0.000
Al 0.500 0.000 0.000
Al 0.000 0.000 0.500
Cd 0.500 0.500 0.500

Calculated values
- Spin magnetization: 0.00 μB per formula unit
- SG: Pm-3m
- E: -10.74 eV per atom


## KAl2Cd (SCAN)

Data for a PBEsol-optimized structure of KAl2Cd.

Cell lengths 5.018, 5.018, 5.018 Å; angles 60.00, 60.00, 60.00 degrees
Fractional coordinates of all 4 atoms:
Al 0.000 0.000 0.000
K 0.250 0.250 0.250
Al 0.750 0.750 0.750
Cd 0.500 0.500 0.500

Calculated values
- Spin magnetization: 0.00 μB per formula unit
- SG: F-43m
- E: -13.27 eV per atom